Compound: Ta2Te
Source: the Alexandria database
Functional: PBE
Structure: optimized geometry

Its formation energy without anion corrections is 0.923 eV per atom. The space group is No. 225.

Unit cell a=6.4350 b=6.4350 c=6.4350 alpha=90.00 beta=90.00 gamma=90.00
Last column: nearest neighbours and their distance in Å.
Fractional coordinates of all 12 atoms:
Ta 0.2500 0.2500 0.2500  4 Te 2.79
Ta 0.2500 0.2500 0.7500  4 Te 2.79
Ta 0.2500 0.7500 0.2500  4 Te 2.79
Ta 0.2500 0.7500 0.7500  4 Te 2.79
Ta 0.7500 0.2500 0.2500  4 Te 2.79
Ta 0.7500 0.2500 0.7500  4 Te 2.79
Ta 0.7500 0.7500 0.2500  4 Te 2.79
Ta 0.7500 0.7500 0.7500  4 Te 2.79
Te 0.0000 0.0000 0.0000  8 Ta 2.79
Te 0.0000 0.5000 0.5000  8 Ta 2.79
Te 0.5000 0.0000 0.5000  8 Ta 2.79
Te 0.5000 0.5000 0.0000  8 Ta 2.79

***

Compound: DyMg2Zn2Ga2
Source: the Alexandria database
Functional: PBE
Structure: optimized geometry

The formation energy is -0.34 eV per atom. The space group is No. 166.

Unit cell a=8.5647 b=8.5647 c=8.5647 alpha=29.77 beta=29.77 gamma=29.77
Last column: nearest neighbours and their distance in Å.
Fractional coordinates of all 7 atoms:
Dy 0.0000 0.0000 0.0000  6 Zn 3.08, 6 Ga 3.16, 2 Mg 3.29
Mg 0.1339 0.1339 0.1339  4 Ga 2.90-3.01, 3 Zn 2.97, 3 Mg 3.01
Mg 0.8661 0.8661 0.8661  4 Ga 2.90-3.01, 3 Zn 2.97, 3 Mg 3.01
Zn 0.4042 0.4042 0.4042  3 Ga 2.54
Zn 0.5958 0.5958 0.5958  3 Ga 2.54
Ga 0.2567 0.2567 0.2567  3 Zn 2.54
Ga 0.7433 0.7433 0.7433  3 Zn 2.54